The following is a PBE with a Hubbard U calculation of MgTl4Ni4O12 after structural relaxation, from Alexandria.

abc: 5.4967 5.6050 8.5478
angles: 83.43 84.55 83.31
Last column: nearest neighbours and their distance in Å.
Positions (direct):
1 Mg 0.0000 0.0000 0.0000  5 O 1.97-2.16
2 Tl 0.4045 0.6666 0.6282  4 O 2.20-2.24
3 Tl 0.4639 0.7492 0.1566  5 O 2.17-2.39
4 Tl 0.9372 0.1395 0.6471  6 O 2.25-2.50
5 Tl 0.9590 0.3284 0.2399  5 O 2.21-2.37
6 Ni 0.4362 0.2231 0.8973  5 O 2.00-2.15
7 Ni 0.4409 0.2285 0.4354  5 O 1.98-2.11
8 Ni 0.8654 0.6212 0.8652  4 O 1.88-1.97
9 Ni 0.9267 0.7466 0.4126  4 O 1.92-2.01
10 O 0.0490 0.7089 0.1863  1 Ni 2.01, 1 Mg 2.16, 1 Tl 2.23
11 O 0.0620 0.3211 0.8421  1 Ni 1.91
12 O 0.1111 0.4355 0.4694  2 Ni 1.95-2.05
13 O 0.1458 0.8063 0.8230  1 Ni 1.94, 1 Mg 2.01
14 O 0.2193 0.9529 0.4700  2 Ni 2.05-2.21, 1 Tl 2.20
15 O 0.2661 0.1252 0.1077  1 Ni 2.00, 1 Mg 2.03, 1 Tl 2.22
16 O 0.5348 0.2755 0.6624  2 Ni 2.03-2.11, 2 Tl 2.22-2.25
17 O 0.6127 0.5351 0.3599  2 Ni 2.07-2.31, 1 Tl 2.17
18 O 0.6367 0.4443 0.9926  2 Ni 1.88-2.03
19 O 0.6837 0.9161 0.9420  2 Ni 1.97-2.09, 1 Mg 1.97
20 O 0.7325 0.0377 0.3398  2 Ni 1.92-1.98
21 O 0.7868 0.7628 0.6322  2 Ni 1.97-2.12

Output
Final energy   -4.660 eV/atom
Energy relative to the lowest polymorph listed for this composition   0 meV per atom
DOS at the Fermi energy   0.52 states/eV per cell